PBE-GGA Co2CuGe, optimized geometry; space group = P4/mmm (123); energy of formation = 9 kJ/mol of formula units; calculated total energy = -22.8 eV per formula unit
1.0
2.8720 0.0000 0.0000
0.0000 2.8720 0.0000
0.0000 0.0000 5.6419
Co Cu Ge
2 1 1
direct
0.0000 0.0000 0.2385
0.0000 0.0000 0.7615
0.5000 0.5000 0.5000
0.5000 0.5000 0.0000

***

PBE-GGA CdGa14Hg, optimized geometry; space group = Amm2 (38); energy of formation = 71 kJ/mol of formula units; calculated total energy = -42.9 eV per formula unit
1.0
8.1445 0.0000 0.0000
0.0000 2.8999 6.8013
0.0000 -2.8999 6.8013
Cd Ga Hg
1 14 1
direct
0.0000 0.0000 0.0000
0.0000 0.0518 0.5455
0.0000 0.5455 0.0518
0.2202 0.1667 0.1667
0.2415 0.6909 0.6909
0.2885 0.1838 0.6647
0.2885 0.6647 0.1838
0.5000 0.2855 0.2855
0.5000 0.3392 0.8335
0.5000 0.8107 0.8107
0.5000 0.8335 0.3392
0.7115 0.1838 0.6647
0.7115 0.6647 0.1838
0.7585 0.6909 0.6909
0.7798 0.1667 0.1667
0.0000 0.5390 0.5390